A relaxed Sc2HPtAu crystal, computed with GGA-PBE.

Results
* distance to the lowest polymorph of the same formula: 0.0880 eV/atom
* raw total energy: -0.425 Ry/atom

abc: 4.5707 4.5707 3.7285
angles: 90.00 90.00 90.00
Closest atoms and distances in Å follow each position.
Fractional positions:
H 0.0000 0.0000 0.0000  2 Au 1.86
Sc 0.5000 0.0000 0.0000  2 H 2.29
Sc 0.0000 0.5000 0.0000  2 H 2.29
Pt 0.5000 0.5000 0.5000  8 Sc 2.95, 4 Au 3.23
Au 0.0000 0.0000 0.5000  2 H 1.86